# Cs3TeH (PBE, optimized geometry)
# Total magnetic moment: 0.00 μB/f.u.
# Final energy: -49.9 eV for the cell shown
# Calculated volume: 221.8 Å³/f.u.
data_Cs3TeH
_chemical_formula_sum 'Cs12 Te4 H4'
_cell_length_a 8.6904
_cell_length_b 12.0754
_cell_length_c 8.4538
_cell_angle_alpha 90.00
_cell_angle_beta 90.00
_cell_angle_gamma 90.00
_symmetry_space_group_name_H-M 'P 1'
_symmetry_Int_Tables_number 1
loop_
_symmetry_equiv_pos_as_xyz
'x,y,z'
loop_
_atom_site_label
_atom_site_type_symbol
_atom_site_fract_x
_atom_site_fract_y
_atom_site_fract_z
Cs1 Cs 0.2057 0.9650 0.7944
Cs2 Cs 0.2943 0.4650 0.2944
Cs3 Cs 0.2943 0.0350 0.2944
Cs4 Cs 0.7943 0.4650 0.2056
Cs5 Cs 0.7943 0.0350 0.2056
Cs6 Cs 0.7057 0.5350 0.7056
Cs7 Cs 0.7057 0.9650 0.7056
Cs8 Cs 0.2057 0.5350 0.7944
Cs9 Cs 0.4913 0.2500 0.9372
Cs10 Cs 0.0087 0.7500 0.4372
Cs11 Cs 0.5087 0.7500 0.0628
Cs12 Cs 0.9913 0.2500 0.5628
H1 H 0.0000 0.0000 0.5000
H2 H 0.5000 0.5000 0.0000
H3 H 0.5000 0.0000 0.0000
H4 H 0.0000 0.5000 0.5000
Te1 Te 0.5519 0.2500 0.4883
Te2 Te 0.9481 0.7500 0.9883
Te3 Te 0.4481 0.7500 0.5117
Te4 Te 0.0519 0.2500 0.0117